1.
The following is a GGA-PBE calculation of Rb2TmGaI6 after structural relaxation, from the Alexandria database.

Crystal system = trigonal
Formation energy (no corrections) = -117.6 kJ per mole of atoms
Total magnetization = 0.0 μB/cell

```
Rb2TmGaI6
1.0
4.358 2.516 7.086
-4.358 2.516 7.086
0.000 -5.032 7.086
Rb Tm Ga I
2 1 1 6
direct
0.000 0.000 0.000 Rb
0.493 0.493 0.493 Rb
0.774 0.774 0.774 Tm
0.270 0.270 0.270 Ga
0.012 0.458 0.614 I
0.094 0.931 0.547 I
0.458 0.614 0.012 I
0.547 0.094 0.931 I
0.614 0.012 0.458 I
0.931 0.547 0.094 I
```

=====

2.
The following is a GGA-PBE calculation of RbTmGa2I6 after structural relaxation, from the Alexandria database.

Crystal system = trigonal
Formation energy (no corrections) = -94.5 kJ per mole of atoms
Total magnetization = 0.0 μB/cell

```
RbTmGa2I6
1.0
4.145 2.393 7.579
-4.145 2.393 7.579
0.000 -4.786 7.579
Rb Tm Ga I
1 1 2 6
direct
0.000 0.000 0.000 Rb
0.489 0.489 0.489 Tm
0.305 0.305 0.305 Ga
0.814 0.814 0.814 Ga
0.098 0.665 0.451 I
0.255 0.558 0.865 I
0.451 0.098 0.665 I
0.558 0.865 0.255 I
0.665 0.451 0.098 I
0.865 0.255 0.558 I
```

=====

3.
The following is a GGA-PBE calculation of RbUGaI6 after structural relaxation, from the Alexandria database.

Crystal system = trigonal
Formation energy (no corrections) = -85.4 kJ per mole of atoms
Total magnetization = 4.0 μB/cell

```
RbUGaI6
1.0
8.272 0.000 0.000
-4.136 7.164 0.000
0.000 0.000 15.671
Rb U Ga I
2 2 2 12
direct
0.000 0.000 0.000 Rb
0.000 0.000 0.500 Rb
0.333 0.667 0.250 U
0.667 0.333 0.750 U
0.333 0.667 0.750 Ga
0.667 0.333 0.250 Ga
0.022 0.380 0.139 I
0.022 0.642 0.361 I
0.358 0.380 0.361 I
0.358 0.978 0.139 I
0.380 0.022 0.639 I
0.380 0.358 0.861 I
0.620 0.642 0.139 I
0.620 0.978 0.361 I
0.642 0.022 0.861 I
0.642 0.620 0.639 I
0.978 0.358 0.639 I
0.978 0.620 0.861 I
```

=====

4.
The following is a GGA-PBE calculation of Rb2VGaI6 after structural relaxation, from the Alexandria database.

Crystal system = cubic
Formation energy (no corrections) = -78.3 kJ per mole of atoms
Total magnetization = 2.0 μB/cell

```
Rb2VGaI6
1.0
0.000 5.930 5.930
5.930 0.000 5.930
5.930 5.930 0.000
Rb V Ga I
2 1 1 6
direct
0.250 0.250 0.250 Rb
0.750 0.750 0.750 Rb
0.000 0.000 0.000 V
0.500 0.500 0.500 Ga
0.235 0.235 0.765 I
0.235 0.765 0.235 I
0.235 0.765 0.765 I
0.765 0.235 0.235 I
0.765 0.235 0.765 I
0.765 0.765 0.235 I
```

=====

5.
The following is a GGA-PBE calculation of RbGaWI2 after structural relaxation, from the Alexandria database.

Crystal system = tetragonal
Formation energy (no corrections) = 53.1 kJ per mole of atoms
Total magnetization = 4.9 μB/cell

```
RbGaWI2
1.0
6.234 0.000 0.000
0.000 6.234 0.000
0.000 0.000 5.190
Rb Ga W I
1 1 1 2
direct
0.000 0.000 0.000 Rb
0.500 0.500 0.500 Ga
0.500 0.500 0.000 W
0.000 0.500 0.500 I
0.500 0.000 0.500 I
```

=====

6.
The following is a GGA-PBE calculation of Rb2YGaI6 after structural relaxation, from the Alexandria database.

Crystal system = trigonal
Formation energy (no corrections) = -119.0 kJ per mole of atoms
Total magnetization = 0.0 μB/cell

```
Rb2YGaI6
1.0
4.371 2.524 7.152
-4.371 2.524 7.152
0.000 -5.047 7.152
Rb Y Ga I
2 1 1 6
direct
0.000 0.000 0.000 Rb
0.493 0.493 0.493 Rb
0.717 0.717 0.717 Y
0.220 0.220 0.220 Ga
0.036 0.476 0.875 I
0.392 0.945 0.561 I
0.476 0.875 0.036 I
0.561 0.392 0.945 I
0.875 0.036 0.476 I
0.945 0.561 0.392 I
```

=====

7.
The following is a GGA-PBE calculation of GaRe2I2 after structural relaxation, from the Alexandria database.

Crystal system = tetragonal
Formation energy (no corrections) = 118.3 kJ per mole of atoms
Total magnetization = 0.0 μB/cell

```
GaRe2I2
1.0
-2.145 2.145 6.622
2.145 -2.145 6.622
2.145 2.145 -6.622
Ga Re I
1 2 2
direct
0.000 0.000 0.000 Ga
0.250 0.750 0.500 Re
0.750 0.250 0.500 Re
0.365 0.365 0.000 I
0.635 0.635 0.000 I
```

=====

8.
The following is a GGA-PBE calculation of Ga3ReI after structural relaxation, from the Alexandria database.

Crystal system = cubic
Formation energy (no corrections) = 33.5 kJ per mole of atoms
Total magnetization = 0.8 μB/cell

```
Ga3ReI
1.0
5.012 0.000 0.000
0.000 5.012 0.000
0.000 0.000 5.012
Ga Re I
3 1 1
direct
0.000 0.000 0.500 Ga
0.000 0.500 0.000 Ga
0.500 0.000 0.000 Ga
0.000 0.000 0.000 Re
0.500 0.500 0.500 I
```

=====

9.
The following is a GGA-PBE calculation of GaRe2I2 after structural relaxation, from the Alexandria database.

Crystal system = tetragonal
Formation energy (no corrections) = 138.8 kJ per mole of atoms
Total magnetization = 1.8 μB/cell

```
GaRe2I2
1.0
8.854 0.000 0.000
0.000 8.854 0.000
0.000 0.000 3.155
Ga Re I
2 4 4
direct
0.000 0.000 0.000 Ga
0.500 0.500 0.000 Ga
0.092 0.408 0.500 Re
0.408 0.908 0.500 Re
0.592 0.092 0.500 Re
0.908 0.592 0.500 Re
0.221 0.721 0.000 I
0.279 0.221 0.000 I
0.721 0.779 0.000 I
0.779 0.279 0.000 I
```

=====

10.
The following is a GGA-PBE calculation of Ga2ReI4 after structural relaxation, from the Alexandria database.

Crystal system = tetragonal
Formation energy (no corrections) = 27.4 kJ per mole of atoms
Total magnetization = 1.6 μB/cell

```
Ga2ReI4
1.0
-2.754 2.754 8.040
2.754 -2.754 8.040
2.754 2.754 -8.040
Ga Re I
2 1 4
direct
0.129 0.129 0.000 Ga
0.871 0.871 0.000 Ga
0.500 0.500 0.000 Re
0.000 0.500 0.500 I
0.328 0.328 0.000 I
0.500 0.000 0.500 I
0.672 0.672 0.000 I
```

=====

11.
The following is a GGA-PBE calculation of GaReI3 after structural relaxation, from the Alexandria database.

Crystal system = cubic
Formation energy (no corrections) = 105.0 kJ per mole of atoms
Total magnetization = 5.8 μB/cell

```
GaReI3
1.0
5.723 0.000 0.000
0.000 5.723 0.000
0.000 0.000 5.723
Ga Re I
1 1 3
direct
0.000 0.000 0.000 Ga
0.500 0.500 0.500 Re
0.000 0.000 0.500 I
0.000 0.500 0.000 I
0.500 0.000 0.000 I
```

=====

12.
The following is a GGA-PBE calculation of GaReI3 after structural relaxation, from the Alexandria database.

Crystal system = cubic
Formation energy (no corrections) = 53.7 kJ per mole of atoms
Total magnetization = 3.0 μB/cell

```
GaReI3
1.0
5.575 0.000 0.000
0.000 5.575 0.000
0.000 0.000 5.575
Ga Re I
1 1 3
direct
0.000 0.000 0.000 Ga
0.500 0.500 0.500 Re
0.000 0.500 0.500 I
0.500 0.000 0.500 I
0.500 0.500 0.000 I
```

=====

13.
The following is a GGA-PBE calculation of ScGaReI2 after structural relaxation, from the Alexandria database.

Crystal system = tetragonal
Formation energy (no corrections) = 72.4 kJ per mole of atoms
Total magnetization = 3.0 μB/cell

```
ScGaReI2
1.0
5.806 0.000 0.000
0.000 5.806 0.000
0.000 0.000 5.089
Sc Ga Re I
1 1 1 2
direct
0.000 0.000 0.000 Sc
0.500 0.500 0.500 Ga
0.000 0.000 0.500 Re
0.000 0.500 0.000 I
0.500 0.000 0.000 I
```

=====

14.
The following is a GGA-PBE calculation of GaReTe2I after structural relaxation, from the Alexandria database.

Crystal system = tetragonal
Formation energy (no corrections) = 129.6 kJ per mole of atoms
Total magnetization = 4.8 μB/cell

```
GaReTe2I
1.0
5.421 0.000 0.000
0.000 5.421 0.000
0.000 0.000 5.460
Ga Re Te I
1 1 2 1
direct
0.000 0.000 0.000 Ga
0.500 0.500 0.500 Re
0.000 0.500 0.000 Te
0.500 0.000 0.000 Te
0.000 0.000 0.500 I
```

=====

15.
The following is a GGA-PBE calculation of GaReTe2I after structural relaxation, from the Alexandria database.

Crystal system = tetragonal
Formation energy (no corrections) = 51.6 kJ per mole of atoms
Total magnetization = 0.0 μB/cell

```
GaReTe2I
1.0
5.181 0.000 0.000
0.000 5.181 0.000
0.000 0.000 5.941
Ga Re Te I
1 1 2 1
direct
0.000 0.000 0.000 Ga
0.500 0.500 0.500 Re
0.000 0.500 0.500 Te
0.500 0.000 0.500 Te
0.500 0.500 0.000 I
```

=====

16.
The following is a GGA-PBE calculation of GaReTeI2 after structural relaxation, from the Alexandria database.

Crystal system = tetragonal
Formation energy (no corrections) = 51.9 kJ per mole of atoms
Total magnetization = 0.7 μB/cell

```
GaReTeI2
1.0
5.739 0.000 0.000
0.000 5.739 0.000
0.000 0.000 5.069
Ga Re Te I
1 1 1 2
direct
0.000 0.000 0.000 Ga
0.500 0.500 0.500 Re
0.500 0.500 0.000 Te
0.000 0.500 0.500 I
0.500 0.000 0.500 I
```

=====

17.
The following is a GGA-PBE calculation of GaReTeI2 after structural relaxation, from the Alexandria database.

Crystal system = tetragonal
Formation energy (no corrections) = 118.8 kJ per mole of atoms
Total magnetization = 5.2 μB/cell

```
GaReTeI2
1.0
5.527 0.000 0.000
0.000 5.527 0.000
0.000 0.000 5.595
Ga Re Te I
1 1 1 2
direct
0.000 0.000 0.000 Ga
0.500 0.500 0.500 Re
0.000 0.000 0.500 Te
0.000 0.500 0.000 I
0.500 0.000 0.000 I
```

=====

18.
The following is a GGA-PBE calculation of Ti2GaReI after structural relaxation, from the Alexandria database.

Crystal system = tetragonal
Formation energy (no corrections) = 179.8 kJ per mole of atoms
Total magnetization = 2.9 μB/cell

```
Ti2GaReI
1.0
4.875 0.000 0.000
0.000 4.875 0.000
0.000 0.000 5.217
Ti Ga Re I
2 1 1 1
direct
0.000 0.500 0.000 Ti
0.500 0.000 0.000 Ti
0.000 0.000 0.500 Ga
0.500 0.500 0.500 Re
0.000 0.000 0.000 I
```

=====

19.
The following is a GGA-PBE calculation of TlGa2ReI after structural relaxation, from the Alexandria database.

Crystal system = tetragonal
Formation energy (no corrections) = 39.8 kJ per mole of atoms
Total magnetization = 0.5 μB/cell

```
TlGa2ReI
1.0
4.913 0.000 0.000
0.000 4.913 0.000
0.000 0.000 5.759
Tl Ga Re I
1 2 1 1
direct
0.000 0.000 0.000 Tl
0.000 0.500 0.500 Ga
0.500 0.000 0.500 Ga
0.500 0.500 0.500 Re
0.500 0.500 0.000 I
```

=====

20.
The following is a GGA-PBE calculation of TlGaReI2 after structural relaxation, from the Alexandria database.

Crystal system = tetragonal
Formation energy (no corrections) = 46.1 kJ per mole of atoms
Total magnetization = 1.8 μB/cell

```
TlGaReI2
1.0
5.696 0.000 0.000
0.000 5.696 0.000
0.000 0.000 4.919
Tl Ga Re I
1 1 1 2
direct
0.000 0.000 0.000 Tl
0.500 0.500 0.000 Ga
0.500 0.500 0.500 Re
0.000 0.500 0.500 I
0.500 0.000 0.500 I
```